Record 1
# Co2SiHg (PBE-GGA, relaxed)
data_Co2SiHg
_chemical_formula_sum 'Co6 Si3 Hg3'
_cell_length_a 2.8222
_cell_length_b 2.8222
_cell_length_c 23.9776
_cell_angle_alpha 90.00
_cell_angle_beta 90.00
_cell_angle_gamma 120.00
_symmetry_space_group_name_H-M 'R -3 m'
_symmetry_Int_Tables_number 166
_symmetry_space_group_name_Hall '-R 3 2"'
loop_
_atom_site_label
_atom_site_type_symbol
_atom_site_fract_x
_atom_site_fract_y
_atom_site_fract_z
Co1 Co 0.0000 0.0000 0.2367
Si1 Si 0.0000 0.0000 0.5000
Hg1 Hg 0.0000 0.0000 0.0000
# Energy relative to the elements, uncorrected ... 0.11 eV per atom
# DFT total energy ... -4.88 eV/atom

Record 2
# La3Y2Tm (PBE-GGA, relaxed)
data_La3Y2Tm
_chemical_formula_sum 'La12 Y8 Tm4'
_cell_length_a 18.169
_cell_length_b 7.302
_cell_length_c 6.392
_cell_angle_alpha 90.00
_cell_angle_beta 103.41
_cell_angle_gamma 90.00
_symmetry_space_group_name_H-M 'C 1 2/c 1'
_symmetry_Int_Tables_number 15
_symmetry_space_group_name_Hall '-C 2yc'
loop_
_atom_site_label
_atom_site_type_symbol
_atom_site_fract_x
_atom_site_fract_y
_atom_site_fract_z
La1 La 0.000 0.127 0.250
La2 La 0.166 0.126 0.024
Y1 Y 0.165 0.378 0.530
Tm1 Tm 0.000 0.381 0.750
# DFT total energy ... -5.34 eV/atom

Record 3
# HfZn8Au2 (PBE-GGA, relaxed)
data_HfZn8Au2
_chemical_formula_sum 'Hf1 Zn8 Au2'
_cell_length_a 4.482
_cell_length_b 7.020
_cell_length_c 7.022
_cell_angle_alpha 62.56
_cell_angle_beta 71.54
_cell_angle_gamma 71.60
_symmetry_space_group_name_H-M 'P -1'
_symmetry_Int_Tables_number 2
_symmetry_space_group_name_Hall '-P 1'
loop_
_atom_site_label
_atom_site_type_symbol
_atom_site_fract_x
_atom_site_fract_y
_atom_site_fract_z
Hf1 Hf 0.000 0.000 0.000
Zn1 Zn 0.133 0.185 0.545
Zn2 Zn 0.135 0.545 0.184
Zn3 Zn 0.279 0.721 0.720
Zn4 Zn 0.340 0.160 0.161
Au1 Au 0.499 0.287 0.714
# DFT total energy ... -2.56 eV/atom

Record 4
# SiSn (PBE-GGA, relaxed)
data_SiSn
_chemical_formula_sum 'Si4 Sn4'
_cell_length_a 6.060
_cell_length_b 6.060
_cell_length_c 6.060
_cell_angle_alpha 90.00
_cell_angle_beta 90.00
_cell_angle_gamma 90.00
_symmetry_space_group_name_H-M 'F -4 3 m'
_symmetry_Int_Tables_number 216
_symmetry_space_group_name_Hall 'F -4 2 3'
loop_
_atom_site_label
_atom_site_type_symbol
_atom_site_fract_x
_atom_site_fract_y
_atom_site_fract_z
Si1 Si 0.000 0.000 0.000
Sn1 Sn 0.250 0.250 0.750
# Energy relative to the elements, uncorrected ... 0.15 eV per atom
# DFT total energy ... -4.56 eV/atom

Record 5
# LaTcAs (PBE-GGA, relaxed)
data_LaTcAs
_chemical_formula_sum 'La2 Tc2 As2'
_cell_length_a 3.309
_cell_length_b 3.309
_cell_length_c 11.224
_cell_angle_alpha 90.00
_cell_angle_beta 90.00
_cell_angle_gamma 90.00
_symmetry_space_group_name_H-M 'I 4 m m'
_symmetry_Int_Tables_number 107
_symmetry_space_group_name_Hall 'I 4 -2'
loop_
_atom_site_label
_atom_site_type_symbol
_atom_site_fract_x
_atom_site_fract_y
_atom_site_fract_z
La1 La 0.000 0.000 0.000
Tc1 Tc 0.000 0.000 0.306
As1 As 0.000 0.000 0.709
# DFT total energy ... -7.05 eV/atom

Record 6
# Ba5Zr (PBE-GGA, relaxed)
data_Ba5Zr
_chemical_formula_sum 'Ba5 Zr1'
_cell_length_a 7.3467
_cell_length_b 7.3467
_cell_length_c 7.0418
_cell_angle_alpha 90.00
_cell_angle_beta 90.00
_cell_angle_gamma 120.00
_symmetry_space_group_name_H-M 'P 6/m m m'
_symmetry_Int_Tables_number 191
_symmetry_space_group_name_Hall '-P 6 2'
loop_
_atom_site_label
_atom_site_type_symbol
_atom_site_fract_x
_atom_site_fract_y
_atom_site_fract_z
Ba1 Ba 0.0000 0.5000 0.0000
Ba2 Ba 0.3333 0.6667 0.5000
Zr1 Zr 0.0000 0.0000 0.5000
# DFT total energy ... -2.24 eV/atom

Record 7
# Y3Ho7Sc (PBE-GGA, relaxed)
data_Y3Ho7Sc
_chemical_formula_sum 'Y12 Ho28 Sc4'
_cell_length_a 6.928
_cell_length_b 18.106
_cell_length_c 11.043
_cell_angle_alpha 90.00
_cell_angle_beta 90.12
_cell_angle_gamma 90.00
_symmetry_space_group_name_H-M 'C 1 2/m 1'
_symmetry_Int_Tables_number 12
_symmetry_space_group_name_Hall '-C 2y'
loop_
_atom_site_label
_atom_site_type_symbol
_atom_site_fract_x
_atom_site_fract_y
_atom_site_fract_z
Y1 Y 0.000 0.000 0.000
Y2 Y 0.000 0.249 0.250
Y3 Y 0.000 0.500 0.500
Ho1 Ho 0.247 0.000 0.750
Ho2 Ho 0.247 0.340 0.028
Ho3 Ho 0.248 0.160 0.527
Ho4 Ho 0.248 0.414 0.751
Sc1 Sc 0.000 0.000 0.500
Sc2 Sc 0.000 0.500 0.000
# DFT total energy ... -5.10 eV/atom

Record 8
# NaPuCdCl6 (PBE-GGA, relaxed)
data_NaPuCdCl6
_chemical_formula_sum 'Na2 Pu2 Cd2 Cl12'
_cell_length_a 6.9353
_cell_length_b 6.9353
_cell_length_c 12.4950
_cell_angle_alpha 90.00
_cell_angle_beta 90.00
_cell_angle_gamma 120.00
_symmetry_space_group_name_H-M 'P -3 1 c'
_symmetry_Int_Tables_number 163
_symmetry_space_group_name_Hall '-P 3 2c'
loop_
_atom_site_label
_atom_site_type_symbol
_atom_site_fract_x
_atom_site_fract_y
_atom_site_fract_z
Na1 Na 0.0000 0.0000 0.0000
Pu1 Pu 0.3333 0.6667 0.2500
Cd1 Cd 0.3333 0.6667 0.7500
Cl1 Cl 0.0072 0.3532 0.6309
# Energy relative to the elements, uncorrected ... -1.60 eV per atom
# DFT total energy ... -4.67 eV/atom

Record 9
# LiBi2Pd (PBE-GGA, relaxed)
data_LiBi2Pd
_chemical_formula_sum 'Li2 Bi4 Pd2'
_cell_length_a 3.991
_cell_length_b 4.002
_cell_length_c 13.579
_cell_angle_alpha 90.00
_cell_angle_beta 90.00
_cell_angle_gamma 90.00
_symmetry_space_group_name_H-M 'I m m m'
_symmetry_Int_Tables_number 71
_symmetry_space_group_name_Hall '-I 2 2'
loop_
_atom_site_label
_atom_site_type_symbol
_atom_site_fract_x
_atom_site_fract_y
_atom_site_fract_z
Li1 Li 0.000 0.000 0.000
Bi1 Bi 0.000 0.000 0.304
Pd1 Pd 0.000 0.000 0.500
# DFT total energy ... -3.79 eV/atom

Record 10
# LiPrEuHo (PBE-GGA, relaxed)
data_LiPrEuHo
_chemical_formula_sum 'Li4 Pr4 Eu4 Ho4'
_cell_length_a 8.048
_cell_length_b 8.048
_cell_length_c 8.048
_cell_angle_alpha 90.00
_cell_angle_beta 90.00
_cell_angle_gamma 90.00
_symmetry_space_group_name_H-M 'F -4 3 m'
_symmetry_Int_Tables_number 216
_symmetry_space_group_name_Hall 'F -4 2 3'
loop_
_atom_site_label
_atom_site_type_symbol
_atom_site_fract_x
_atom_site_fract_y
_atom_site_fract_z
Li1 Li 0.000 0.000 0.000
Pr1 Pr 0.250 0.250 0.250
Eu1 Eu 0.250 0.250 0.750
Ho1 Ho 0.000 0.000 0.500
# DFT total energy ... -5.19 eV/atom

Record 11
# La2TcHg (PBE-GGA, relaxed)
data_La2TcHg
_chemical_formula_sum 'La4 Tc2 Hg2'
_cell_length_a 12.456
_cell_length_b 3.569
_cell_length_c 5.135
_cell_angle_alpha 90.00
_cell_angle_beta 114.28
_cell_angle_gamma 90.00
_symmetry_space_group_name_H-M 'C 1 m 1'
_symmetry_Int_Tables_number 8
_symmetry_space_group_name_Hall 'C -2y'
loop_
_atom_site_label
_atom_site_type_symbol
_atom_site_fract_x
_atom_site_fract_y
_atom_site_fract_z
La1 La 0.000 0.000 0.000
La2 La 0.196 0.000 0.695
Tc1 Tc 0.490 0.000 0.489
Hg1 Hg 0.292 0.500 0.292
# DFT total energy ... -5.13 eV/atom

Record 12
# Zn2AgOs (PBE-GGA, relaxed)
data_Zn2AgOs
_chemical_formula_sum 'Zn8 Ag4 Os4'
_cell_length_a 6.184
_cell_length_b 6.184
_cell_length_c 6.184
_cell_angle_alpha 90.00
_cell_angle_beta 90.00
_cell_angle_gamma 90.00
_symmetry_space_group_name_H-M 'F m -3 m'
_symmetry_Int_Tables_number 225
_symmetry_space_group_name_Hall '-F 4 2 3'
loop_
_atom_site_label
_atom_site_type_symbol
_atom_site_fract_x
_atom_site_fract_y
_atom_site_fract_z
Zn1 Zn 0.250 0.250 0.250
Ag1 Ag 0.000 0.000 0.000
Os1 Os 0.000 0.000 0.500
# DFT total energy ... -3.87 eV/atom

Record 13
# ZnGaSb2 (PBE-GGA, relaxed)
data_ZnGaSb2
_chemical_formula_sum 'Zn3 Ga3 Sb6'
_cell_length_a 4.1316
_cell_length_b 4.1316
_cell_length_c 24.3092
_cell_angle_alpha 90.00
_cell_angle_beta 90.00
_cell_angle_gamma 120.00
_symmetry_space_group_name_H-M 'R -3 m'
_symmetry_Int_Tables_number 166
_symmetry_space_group_name_Hall '-R 3 2"'
loop_
_atom_site_label
_atom_site_type_symbol
_atom_site_fract_x
_atom_site_fract_y
_atom_site_fract_z
Zn1 Zn 0.0000 0.0000 0.0000
Ga1 Ga 0.0000 0.0000 0.5000
Sb1 Sb 0.0000 0.0000 0.3906
# Energy relative to the elements, uncorrected ... 0.35 eV per atom
# DFT total energy ... -2.79 eV/atom

Record 14
# K3U3FeSe8 (PBE-GGA, relaxed)
data_K3U3FeSe8
_chemical_formula_sum 'K9 U9 Fe3 Se24'
_cell_length_a 8.1831
_cell_length_b 8.1831
_cell_length_c 23.6332
_cell_angle_alpha 90.00
_cell_angle_beta 90.00
_cell_angle_gamma 120.00
_symmetry_space_group_name_H-M 'R -3 m'
_symmetry_Int_Tables_number 166
_symmetry_space_group_name_Hall '-R 3 2"'
loop_
_atom_site_label
_atom_site_type_symbol
_atom_site_fract_x
_atom_site_fract_y
_atom_site_fract_z
K1 K 0.0000 0.5000 0.0000
U1 U 0.0000 0.5000 0.5000
Fe1 Fe 0.0000 0.0000 0.5000
Se1 Se 0.0000 0.0000 0.2366
Se2 Se 0.0113 0.5056 0.2312
# Energy relative to the elements, uncorrected ... -1.06 eV per atom
# DFT total energy ... -5.96 eV/atom

Record 15
# Ca2YCo (PBE-GGA, relaxed)
data_Ca2YCo
_chemical_formula_sum 'Ca8 Y4 Co4'
_cell_length_a 7.467
_cell_length_b 7.467
_cell_length_c 7.467
_cell_angle_alpha 90.00
_cell_angle_beta 90.00
_cell_angle_gamma 90.00
_symmetry_space_group_name_H-M 'F m -3 m'
_symmetry_Int_Tables_number 225
_symmetry_space_group_name_Hall '-F 4 2 3'
loop_
_atom_site_label
_atom_site_type_symbol
_atom_site_fract_x
_atom_site_fract_y
_atom_site_fract_z
Ca1 Ca 0.250 0.250 0.250
Y1 Y 0.000 0.000 0.000
Co1 Co 0.000 0.000 0.500
# DFT total energy ... -3.84 eV/atom

Record 16
# LaScTe3Pd (PBE-GGA, relaxed)
data_LaScTe3Pd
_chemical_formula_sum 'La2 Sc2 Te6 Pd2'
_cell_length_a 7.953
_cell_length_b 4.222
_cell_length_c 10.117
_cell_angle_alpha 90.00
_cell_angle_beta 103.52
_cell_angle_gamma 90.00
_symmetry_space_group_name_H-M 'P 1 21/m 1'
_symmetry_Int_Tables_number 11
_symmetry_space_group_name_Hall '-P 2yb'
loop_
_atom_site_label
_atom_site_type_symbol
_atom_site_fract_x
_atom_site_fract_y
_atom_site_fract_z
La1 La 0.214 0.250 0.293
Sc1 Sc 0.312 0.750 0.822
Te1 Te 0.075 0.250 0.862
Te2 Te 0.286 0.750 0.538
Te3 Te 0.420 0.750 0.135
Pd1 Pd 0.085 0.250 0.596
# Energy relative to the elements, uncorrected ... -1.25 eV per atom
# DFT total energy ... -5.57 eV/atom

Record 17
# Nd3DySc2 (PBE-GGA, relaxed)
data_Nd3DySc2
_chemical_formula_sum 'Nd12 Dy4 Sc8'
_cell_length_a 14.529
_cell_length_b 9.808
_cell_length_c 5.522
_cell_angle_alpha 90.00
_cell_angle_beta 90.00
_cell_angle_gamma 90.00
_symmetry_space_group_name_H-M 'C m c m'
_symmetry_Int_Tables_number 63
_symmetry_space_group_name_Hall '-C 2c 2'
loop_
_atom_site_label
_atom_site_type_symbol
_atom_site_fract_x
_atom_site_fract_y
_atom_site_fract_z
Nd1 Nd 0.000 0.093 0.250
Nd2 Nd 0.244 0.134 0.250
Dy1 Dy 0.000 0.278 0.750
Sc1 Sc 0.103 0.408 0.250
# DFT total energy ... -5.00 eV/atom

Record 18
# SrPrDy (PBE-GGA, relaxed)
data_SrPrDy
_chemical_formula_sum 'Sr2 Pr2 Dy2'
_cell_length_a 3.789
_cell_length_b 3.789
_cell_length_c 16.286
_cell_angle_alpha 90.00
_cell_angle_beta 90.00
_cell_angle_gamma 90.00
_symmetry_space_group_name_H-M 'I 4 m m'
_symmetry_Int_Tables_number 107
_symmetry_space_group_name_Hall 'I 4 -2'
loop_
_atom_site_label
_atom_site_type_symbol
_atom_site_fract_x
_atom_site_fract_y
_atom_site_fract_z
Sr1 Sr 0.000 0.000 0.000
Pr1 Pr 0.000 0.000 0.682
Dy1 Dy 0.000 0.000 0.323
# DFT total energy ... -3.58 eV/atom

Record 19
# Ca3HF (PBE-GGA, relaxed)
data_Ca3HF
_chemical_formula_sum 'Ca3 H1 F1'
_cell_length_a 5.104
_cell_length_b 5.104
_cell_length_c 5.104
_cell_angle_alpha 90.00
_cell_angle_beta 90.00
_cell_angle_gamma 90.00
_symmetry_space_group_name_H-M 'P m -3 m'
_symmetry_Int_Tables_number 221
_symmetry_space_group_name_Hall '-P 4 2 3'
loop_
_atom_site_label
_atom_site_type_symbol
_atom_site_fract_x
_atom_site_fract_y
_atom_site_fract_z
Ca1 Ca 0.000 0.000 0.500
H1 H 0.500 0.500 0.500
F1 F 0.000 0.000 0.000
# DFT total energy ... -2.78 eV/atom

Record 20
# Cr2CuSi (PBE-GGA, relaxed)
data_Cr2CuSi
_chemical_formula_sum 'Cr4 Cu2 Si2'
_cell_length_a 3.052
_cell_length_b 4.063
_cell_length_c 7.688
_cell_angle_alpha 90.00
_cell_angle_beta 90.00
_cell_angle_gamma 90.00
_symmetry_space_group_name_H-M 'I m m 2'
_symmetry_Int_Tables_number 44
_symmetry_space_group_name_Hall 'I 2 -2'
loop_
_atom_site_label
_atom_site_type_symbol
_atom_site_fract_x
_atom_site_fract_y
_atom_site_fract_z
Cr1 Cr 0.000 0.000 0.000
Cr2 Cr 0.000 0.500 0.263
Cu1 Cu 0.000 0.500 0.768
Si1 Si 0.000 0.000 0.507
# Energy relative to the elements, uncorrected ... 0.01 eV per atom
# DFT total energy ... -7.18 eV/atom

Record 21
# LiNd2Ir (PBE-GGA, relaxed)
data_LiNd2Ir
_chemical_formula_sum 'Li4 Nd8 Ir4'
_cell_length_a 7.199
_cell_length_b 7.199
_cell_length_c 7.199
_cell_angle_alpha 90.00
_cell_angle_beta 90.00
_cell_angle_gamma 90.00
_symmetry_space_group_name_H-M 'F m -3 m'
_symmetry_Int_Tables_number 225
_symmetry_space_group_name_Hall '-F 4 2 3'
loop_
_atom_site_label
_atom_site_type_symbol
_atom_site_fract_x
_atom_site_fract_y
_atom_site_fract_z
Li1 Li 0.000 0.000 0.000
Nd1 Nd 0.250 0.250 0.250
Ir1 Ir 0.000 0.000 0.500
# DFT total energy ... -5.47 eV/atom

Record 22
# Ho2B2PdRh5 (PBE-GGA, relaxed)
data_Ho2B2PdRh5
_chemical_formula_sum 'Ho4 B4 Pd2 Rh10'
_cell_length_a 9.513
_cell_length_b 9.513
_cell_length_c 3.229
_cell_angle_alpha 90.00
_cell_angle_beta 90.00
_cell_angle_gamma 90.00
_symmetry_space_group_name_H-M 'P 4/m b m'
_symmetry_Int_Tables_number 127
_symmetry_space_group_name_Hall '-P 4 2ab'
loop_
_atom_site_label
_atom_site_type_symbol
_atom_site_fract_x
_atom_site_fract_y
_atom_site_fract_z
Ho1 Ho 0.177 0.323 0.000
B1 B 0.123 0.623 0.000
Pd1 Pd 0.000 0.000 0.000
Rh1 Rh 0.000 0.500 0.500
Rh2 Rh 0.070 0.775 0.500
# DFT total energy ... -7.12 eV/atom

Record 23
# Hg4P2I5 (PBE-GGA, relaxed)
data_Hg4P2I5
_chemical_formula_sum 'Hg4 P2 I5'
_cell_length_a 4.341
_cell_length_b 8.975
_cell_length_c 11.503
_cell_angle_alpha 96.25
_cell_angle_beta 100.25
_cell_angle_gamma 96.67
_symmetry_space_group_name_H-M 'P -1'
_symmetry_Int_Tables_number 2
_symmetry_space_group_name_Hall '-P 1'
loop_
_atom_site_label
_atom_site_type_symbol
_atom_site_fract_x
_atom_site_fract_y
_atom_site_fract_z
Hg1 Hg 0.096 0.259 0.327
Hg2 Hg 0.301 0.313 0.675
P1 P 0.484 0.618 0.502
I1 I 0.000 0.000 0.500
I2 I 0.056 0.698 0.153
I3 I 0.428 0.812 0.847
# Energy relative to the elements, uncorrected ... -0.12 eV per atom
# DFT total energy ... -1.92 eV/atom

Record 24
# RbHg4H (PBE-GGA, relaxed)
data_RbHg4H
_chemical_formula_sum 'Rb4 Hg16 H4'
_cell_length_a 11.321
_cell_length_b 8.745
_cell_length_c 7.869
_cell_angle_alpha 90.00
_cell_angle_beta 110.65
_cell_angle_gamma 90.00
_symmetry_space_group_name_H-M 'C 1 2/c 1'
_symmetry_Int_Tables_number 15
_symmetry_space_group_name_Hall '-C 2yc'
loop_
_atom_site_label
_atom_site_type_symbol
_atom_site_fract_x
_atom_site_fract_y
_atom_site_fract_z
Rb1 Rb 0.000 0.000 0.000
Hg1 Hg 0.142 0.355 0.366
Hg2 Hg 0.179 0.313 0.811
H1 H 0.000 0.227 0.750
# DFT total energy ... -0.97 eV/atom